# Zr2AgHg PBE-GGA relaxed
data_Zr2AgHg
_chemical_formula_sum 'Zr2 Ag1 Hg1'
_space_group_name_H-M_alt 'P 1 2/m 1'
_space_group_IT_number 10
_cell_length_a 3.111
_cell_length_b 4.355
_cell_length_c 6.128
_cell_angle_alpha 90.00
_cell_angle_beta 90.30
_cell_angle_gamma 90.00
loop_
_space_group_symop_operation_xyz
'x,y,z'
'-x,-y,-z'
'-x,y,-z'
'x,-y,z'
loop_
_atom_site_label
_atom_site_fract_x
_atom_site_fract_y
_atom_site_fract_z
Zr1 0.001 0.000 0.252
Ag1 0.500 0.500 0.500
Hg1 0.500 0.500 0.000
# total magnetic moment: 0.00 μB per formula unit
# raw total energy: -5.151 eV/atom

=====

# ZrAgHg2 PBE-GGA relaxed
data_ZrAgHg2
_chemical_formula_sum 'Zr2 Ag2 Hg4'
_space_group_name_H-M_alt 'C 1 2/m 1'
_space_group_IT_number 12
_cell_length_a 9.551
_cell_length_b 3.201
_cell_length_c 5.711
_cell_angle_alpha 90.00
_cell_angle_beta 101.33
_cell_angle_gamma 90.00
loop_
_space_group_symop_operation_xyz
'x,y,z'
'-x,-y,-z'
'-x,y,-z'
'x,-y,z'
'x+1/2,y+1/2,z'
'-x+1/2,-y+1/2,-z'
'-x+1/2,y+1/2,-z'
'x+1/2,-y+1/2,z'
loop_
_atom_site_label
_atom_site_fract_x
_atom_site_fract_y
_atom_site_fract_z
Zr1 0.000 0.000 0.000
Ag1 0.000 0.500 0.500
Hg1 0.248 0.000 0.743
# total magnetic moment: 0.00 μB per formula unit
# raw total energy: -2.984 eV/atom

=====

| no. | theoretical density (g/cm³) |
| --- | --- |
| 1 | 9.82 |
| 2 | 11.64 |